! meta-GGA SCAN SrTlMo, PBEsol geometry; values from VASP
! Spin magnetization   3.0 Bohr magnetons per cell
! Symmetry   F-43m (216)
! Polymorph energy (0 for the lowest one)   0.00 eV/f.u.
&SYSTEM
  ibrav = 0, nat = 3, ntyp = 3
/
ATOMIC_SPECIES
Sr 87.62 Sr.upf
Tl 204.38 Tl.upf
Mo 95.94 Mo.upf
CELL_PARAMETERS angstrom
0.0000 3.4974 3.4974
3.4974 0.0000 3.4974
3.4974 3.4974 0.0000
ATOMIC_POSITIONS angstrom
Sr 0.0000 0.0000 0.0000
Tl 3.4974 3.4974 3.4974
Mo 5.2461 5.2461 5.2461